## 1
AgGe3Te4 | GGA-PBE | relaxed

abc: 4.1778 7.2728 7.4290
angles: 70.42 89.76 89.98
Last column: nearest neighbours and their distance in Å.
Space group P1 (No. 1)
One atom of each set of equivalent atoms:
Ag (0.0000, 0.0000, 0.0000) x1  6 Te 2.94-3.09
Ge (0.5035, 0.4939, 0.0222) x1  4 Te 2.81-3.11
Ge (0.5029, 0.9960, 0.5164) x1  5 Te 2.82-3.11
Ge (0.9992, 0.4994, 0.4959) x1  6 Te 2.95-3.04
Te (0.4976, 0.2470, 0.7355) x1  3 Ge 2.82-2.95, 2 Ag 3.00-3.03
Te (0.4995, 0.7448, 0.2392) x1  3 Ge 2.81-2.99, 2 Ag 2.96
Te (0.9972, 0.7521, 0.7338) x1  5 Ge 2.85-3.15, 1 Ag 3.09
Te (0.9978, 0.2526, 0.2374) x1  5 Ge 2.84-3.11, 1 Ag 2.94

Output
For the density of states at the Fermi level, the calculation gives 2.94 states/eV/f.u. Its crystal system is triclinic.

---

## 2
AgGe3Te4 | GGA-PBE | relaxed

abc: 5.8453 12.1373 6.0229
angles: 90.00 90.00 90.00
Last column: nearest neighbours and their distance in Å.
Space group Imm2 (No. 44)
One atom of each set of equivalent atoms:
Ag (0.0000, 0.0000, 0.0000) x2  6 Te 2.93-3.10
Ge (0.0000, 0.2520, 0.5078) x4  5 Te 2.79-3.06
Ge (0.0000, 0.5000, 0.0148) x2  5 Te 2.79-2.98
Te (0.0000, 0.0000, 0.4897) x2  4 Ge 2.93-3.06, 2 Ag 2.95-3.07
Te (0.0000, 0.2551, 0.9702) x4  4 Ge 2.79-2.98, 1 Ag 3.10
Te (0.0000, 0.5000, 0.4785) x2  3 Ge 2.79-3.02, 2 Ag 2.93

Output
For the density of states at the Fermi level, the calculation gives 3.14 states/eV/f.u. Its crystal system is orthorhombic.

---

Unit: eV/atom. Relative energies: 1 0.000; 2 0.012.

---

## 1
AgGe2Te3 | GGA-PBE | relaxed

abc: 5.8910 12.6207 8.4651
angles: 90.00 90.00 90.00
Last column: nearest neighbours and their distance in Å.
Space group P2_1/c (No. 14)
One atom of each set of equivalent atoms:
Ag (0.2495, 0.0876, 0.1309) x4  6 Te 2.90-3.11
Ge (0.2503, 0.0815, 0.6286) x4  6 Te 2.88-3.07
Ge (0.2501, 0.7418, 0.1253) x4  6 Te 2.86-3.12
Te (0.2499, 0.2430, 0.8777) x4  2 Ag 2.90-2.99, 4 Ge 2.93-3.07
Te (0.2504, 0.5829, 0.3654) x4  3 Ge 2.86-3.12, 3 Ag 2.95-3.11
Te (0.2499, 0.5837, 0.8718) x4  5 Ge 2.93-3.03, 1 Ag 2.97

Output
For the density of states at the Fermi level, the calculation gives 3.20 states/eV/f.u. Its crystal system is monoclinic.

---

## 2
AgGe2Te3 | GGA-PBE | relaxed

abc: 4.2143 5.8800 12.6155
angles: 90.00 90.00 90.00
Last column: nearest neighbours and their distance in Å.
Space group Immm (No. 71)
One atom of each set of equivalent atoms:
Ag (0.0000, 0.0000, 0.0000) x2  6 Te 2.94-3.00
Ge (0.0000, 0.0000, 0.3314) x4  6 Te 2.94-2.99
Te (0.0000, 0.5000, 0.0000) x2  2 Ag 2.94, 4 Ge 2.99
Te (0.0000, 0.5000, 0.3313) x4  4 Ge 2.94, 2 Ag 3.00

Output
For the density of states at the Fermi level, the calculation gives 2.54 states/eV/f.u. Its crystal system is orthorhombic.

---

Unit: eV/atom. Relative energies: 1 0.008; 2 0.000.

---

## 1
Ag8GeTe6 | GGA-PBE | relaxed

abc: 8.4488 8.3429 11.6267
angles: 90.00 90.00 90.00
Last column: nearest neighbours and their distance in Å.
Space group Pmn2_1 (No. 31)
One atom of each set of equivalent atoms:
Ag (0.0000, 0.1123, 0.0000) x2  4 Te 2.80-2.92, 2 Ag 3.00
Ag (0.0000, 0.2502, 0.4546) x2  3 Te 2.77-2.98, 2 Ag 2.99
Ag (0.1829, 0.0082, 0.2087) x4  3 Te 2.85-2.90, 3 Ag 3.00-3.12
Ag (0.2165, 0.6607, 0.1121) x4  3 Te 2.73-2.96
Ag (0.2232, 0.5999, 0.8349) x4  4 Te 2.82-3.16, 1 Ag 2.99
Ge (0.0000, 0.7554, 0.4792) x2  4 Te 2.58-2.62
Te (0.0000, 0.0025, 0.6128) x2  1 Ge 2.58, 1 Ag 2.77
Te (0.0000, 0.2944, 0.2141) x2  6 Ag 2.82-2.92
Te (0.0000, 0.5169, 0.6254) x2  1 Ge 2.62, 2 Ag 2.82
Te (0.0000, 0.7807, 0.9606) x2  5 Ag 2.73-2.82
Te (0.2427, 0.2535, 0.8572) x4  1 Ge 2.60, 3 Ag 2.85-2.91

Output
For the density of states at the Fermi level, the calculation gives 0.32 states/eV/f.u. Its crystal system is orthorhombic.

---

## 2
Ag8GeTe6 | GGA-PBE | relaxed

abc: 8.1127 8.1836 8.2200
angles: 62.30 62.55 63.19
Last column: nearest neighbours and their distance in Å.
Space group P1 (No. 1)
One atom of each set of equivalent atoms:
Ag (0.0000, 0.0000, 0.0000) x1  3 Te 2.80-2.86, 2 Ag 2.94-3.04
Ag (0.0220, 0.3857, 0.4778) x1  4 Te 2.86-2.94, 2 Ag 3.09-3.11
Ag (0.0938, 0.2167, 0.1738) x1  3 Te 2.88-2.90, 5 Ag 2.99-3.22
Ag (0.3880, 0.8141, 0.2713) x1  4 Te 2.87-3.03, 3 Ag 3.03-3.09
Ag (0.5334, 0.9849, 0.4687) x1  3 Te 2.80-2.88, 1 Ag 2.96
Ag (0.6996, 0.9609, 0.9090) x1  4 Te 2.84-3.11, 3 Ag 2.94-3.04
Ag (0.7256, 0.2245, 0.5100) x1  3 Te 2.79-3.02, 4 Ag 2.94-3.11
Ag (0.9550, 0.8396, 0.4151) x1  2 Te 2.75-2.80, 2 Ag 2.94-2.96
Ge (0.5516, 0.4777, 0.9866) x1  4 Te 2.58-2.62
Te (0.0867, 0.9768, 0.5665) x1  5 Ag 2.75-2.92
Te (0.4157, 0.4000, 0.3631) x1  1 Ge 2.62, 3 Ag 2.79-2.93
Te (0.4156, 0.8563, 0.8795) x1  1 Ge 2.62, 3 Ag 2.84-2.93
Te (0.4227, 0.3352, 0.8630) x1  1 Ge 2.58, 2 Ag 2.84-2.89
Te (0.7934, 0.7275, 0.2609) x1  6 Ag 2.80-3.00
Te (0.9280, 0.4013, 0.8616) x1  1 Ge 2.60, 2 Ag 2.80-2.90

Output
For the density of states at the Fermi level, the calculation gives 0.41 states/eV/f.u. Its crystal system is triclinic.

---

## 3
Ag8GeTe6 | GGA-PBE | relaxed

abc: 8.1021 8.1736 8.2825
angles: 62.04 62.16 63.38
Last column: nearest neighbours and their distance in Å.
Space group P1 (No. 1)
One atom of each set of equivalent atoms:
Ag (0.0000, 0.0000, 0.0000) x1  3 Te 2.87-2.89, 3 Ag 2.97-3.01
Ag (0.0092, 0.3903, 0.5343) x1  4 Te 2.84-2.94, 2 Ag 3.00-3.08
Ag (0.0932, 0.7699, 0.3720) x1  3 Te 2.85-3.07, 4 Ag 2.92-3.13
Ag (0.4259, 0.6447, 0.5352) x1  4 Te 2.81-3.04, 2 Ag 3.08-3.13
Ag (0.5385, 0.9569, 0.5377) x1  3 Te 2.77-2.91, 2 Ag 3.04-3.08
Ag (0.6800, 0.2082, 0.6981) x1  2 Te 2.73-2.79, 2 Ag 2.94-2.96
Ag (0.8310, 0.7985, 0.9222) x1  4 Te 2.83-3.09, 2 Ag 2.96-2.97
Ag (0.8457, 0.1715, 0.3117) x1  3 Te 2.84-3.02, 4 Ag 2.92-3.04
Ge (0.5075, 0.5146, 0.0225) x1  4 Te 2.58-2.64
Te (0.0678, 0.9959, 0.5649) x1  6 Ag 2.79-3.04
Te (0.3384, 0.3946, 0.9191) x1  1 Ge 2.58, 2 Ag 2.73-2.81
Te (0.4120, 0.8891, 0.9364) x1  1 Ge 2.61, 2 Ag 2.81-2.89
Te (0.4139, 0.3792, 0.4025) x1  1 Ge 2.64, 3 Ag 2.90-2.91
Te (0.7930, 0.7262, 0.3068) x1  6 Ag 2.77-2.92
Te (0.8902, 0.4099, 0.9147) x1  1 Ge 2.63, 3 Ag 2.87-2.89

Output
For the density of states at the Fermi level, the calculation gives 0.68 states/eV/f.u. Its crystal system is triclinic.

---

Unit: eV/atom. Relative energies: 1 0.000; 2 0.010; 3 0.017.

---

## 1
Ag8GeTe6 | GGA-PBE | relaxed

abc: 8.3179 8.3397 14.2745
angles: 73.42 74.59 60.41
Last column: nearest neighbours and their distance in Å.
Space group P1 (No. 1)
One atom of each set of equivalent atoms:
Ag (0.0000, 0.0000, 0.0000) x1  2 Te 2.81-2.87, 4 Ag 2.87-3.08
Ag (0.0291, 0.2254, 0.5841) x1  3 Te 2.88-2.96, 5 Ag 2.90-3.20
Ag (0.0421, 0.5585, 0.2729) x1  4 Te 2.90-3.10, 4 Ag 2.95-3.04
Ag (0.1019, 0.1263, 0.7948) x1  3 Ag 2.87-3.02, 3 Te 2.88-2.93
Ag (0.1360, 0.0737, 0.1640) x1  3 Te 2.79-2.82, 1 Ag 2.91
Ag (0.1865, 0.1453, 0.3631) x1  2 Te 2.80-2.86, 3 Ag 3.00-3.05
Ag (0.2523, 0.4095, 0.4405) x1  3 Te 2.81-2.87, 4 Ag 2.95-3.05
Ag (0.2970, 0.7003, 0.1196) x1  3 Te 2.84-3.13, 5 Ag 2.91-3.08
Ag (0.3803, 0.5310, 0.9368) x1  3 Ag 2.83-3.15, 4 Te 2.88-3.13
Ag (0.4668, 0.7517, 0.4310) x1  4 Te 2.85-3.03, 3 Ag 2.98-3.00
Ag (0.5505, 0.6830, 0.7604) x1  4 Te 2.80-2.99, 2 Ag 2.83-3.03
Ag (0.5792, 0.6094, 0.2429) x1  3 Te 2.79-2.91, 2 Ag 2.98
Ag (0.6745, 0.2164, 0.6170) x1  4 Te 2.86-2.90, 1 Ag 2.90
Ag (0.7215, 0.9353, 0.9286) x1  4 Te 2.79-3.06, 1 Ag 3.08
Ag (0.8082, 0.4187, 0.9116) x1  3 Te 2.79-2.83, 3 Ag 2.99-3.06
Ag (0.8424, 0.6422, 0.4777) x1  2 Te 2.74-2.75, 3 Ag 2.96-3.04
Ge (0.0901, 0.6520, 0.6928) x1  4 Te 2.59-2.62
Ge (0.5985, 0.1372, 0.1947) x1  4 Te 2.59-2.61
Te (0.0310, 0.5971, 0.8839) x1  1 Ge 2.59, 2 Ag 2.79-2.82
Te (0.2020, 0.7702, 0.3244) x1  6 Ag 2.79-3.00
Te (0.2829, 0.3299, 0.1244) x1  1 Ge 2.61, 3 Ag 2.81-2.90
Te (0.2838, 0.3217, 0.6418) x1  1 Ge 2.62, 3 Ag 2.81-2.89
Te (0.2884, 0.8332, 0.6233) x1  1 Ge 2.59, 3 Ag 2.85-2.88
Te (0.3813, 0.8865, 0.9272) x1  6 Ag 2.81-3.06
Te (0.5498, 0.0694, 0.3861) x1  1 Ge 2.59, 2 Ag 2.84-2.86
Te (0.7070, 0.2646, 0.8011) x1  5 Ag 2.79-2.99
Te (0.7758, 0.8316, 0.6238) x1  1 Ge 2.59, 3 Ag 2.75-2.87
Te (0.7794, 0.3366, 0.1201) x1  1 Ge 2.60, 3 Ag 2.79-2.83
Te (0.7856, 0.8201, 0.1330) x1  1 Ge 2.59, 1 Ag 2.87
Te (0.8075, 0.3734, 0.4219) x1  5 Ag 2.74-3.03

Output
For the density of states at the Fermi level, the calculation gives 1.26 states/eV/f.u. Its crystal system is triclinic.

---

## 2
Ag8GeTe6 | GGA-PBE | relaxed

abc: 8.1951 8.2499 8.2748
angles: 92.16 118.44 118.04
Last column: nearest neighbours and their distance in Å.
Space group P1 (No. 1)
One atom of each set of equivalent atoms:
Ag (0.0000, 0.0000, 0.0000) x1  4 Te 2.82-3.09, 3 Ag 2.86-3.15
Ag (0.0107, 0.7262, 0.7348) x1  2 Te 2.76, 2 Ag 2.84-2.98
Ag (0.2037, 0.5331, 0.2889) x1  3 Te 2.85-2.92, 2 Ag 2.99-3.06
Ag (0.3192, 0.9322, 0.2766) x1  4 Ag 2.86-3.05, 3 Te 2.89-3.11
Ag (0.4261, 0.1188, 0.9989) x1  3 Te 2.80-2.89, 4 Ag 2.98-3.08
Ag (0.4953, 0.5079, 0.9707) x1  4 Te 2.85-2.99, 1 Ag 3.02
Ag (0.7265, 0.3135, 0.5718) x1  3 Te 2.82-3.05, 3 Ag 2.84-2.96
Ag (0.7791, 0.2020, 0.9125) x1  3 Te 2.79-2.94, 4 Ag 2.87-3.08
Ge (0.9524, 0.0955, 0.4766) x1  4 Te 2.60-2.64
Te (0.1529, 0.4723, 0.6034) x1  1 Ge 2.60, 2 Ag 2.85-2.87
Te (0.2240, 0.9806, 0.5907) x1  1 Ge 2.61, 2 Ag 2.76-2.84
Te (0.4211, 0.3522, 0.2487) x1  5 Ag 2.80-2.92
Te (0.6624, 0.9285, 0.0990) x1  1 Ge 2.61, 2 Ag 2.83-2.89
Te (0.6822, 0.9280, 0.5923) x1  1 Ge 2.64, 3 Ag 2.89-2.94
Te (0.8855, 0.5826, 0.9805) x1  6 Ag 2.76-3.09

Output
For the density of states at the Fermi level, the calculation gives 0.21 states/eV/f.u. Its crystal system is triclinic.

---

Unit: eV/atom. Relative energies: 1 0.000; 2 0.007.